First-principles (GGA-PBE) data for a relaxed structure of RbHf2Zr, as listed in the Alexandria database.

abc: 11.1077 11.1077 11.1077
angles: 151.38 151.38 40.92
Closest atoms and distances in Å follow each position.
Sites, in units of the cell vectors:
Rb1 0.3750 0.6250 0.7500  4 Zr 3.88, 8 Hf 4.02
Rb2 0.6250 0.3750 0.2500  4 Zr 3.88, 8 Hf 4.02
Hf1 0.0000 0.0000 0.0000  2 Hf 2.75, 2 Zr 2.94
Hf2 0.0000 0.0000 0.5000  2 Hf 2.75, 2 Zr 2.94
Hf3 0.0000 0.5000 0.0000  2 Hf 2.75, 2 Zr 2.94
Hf4 0.5000 0.0000 0.5000  2 Hf 2.75, 2 Zr 2.94
Zr1 0.1250 0.8750 0.2500  4 Hf 2.94
Zr2 0.8750 0.1250 0.7500  4 Hf 2.94

Results
Calculated formation energy = 1.66 eV per atom
Space group = No. 141
Crystal system = tetragonal
N(E_F) = 1.932 states/eV/atom

=====

First-principles (GGA-PBE) data for a relaxed structure of Ba2NdGaSe5, as listed in the Alexandria database.

abc: 9.8938 9.8938 13.5575
angles: 90.00 90.00 154.98
Closest atoms and distances in Å follow each position.
Sites, in units of the cell vectors:
Ba1 0.1202 0.8798 0.5000  7 Se 3.26-3.52
Ba2 0.1243 0.8757 0.1444  6 Se 3.27-3.37
Ba3 0.8757 0.1243 0.6444  6 Se 3.27-3.37
Ba4 0.8798 0.1202 0.0000  7 Se 3.26-3.52
Nd1 0.2030 0.7970 0.8423  6 Se 2.86-3.14
Nd2 0.7970 0.2030 0.3423  6 Se 2.86-3.14
Ga1 0.4423 0.5577 0.2379  4 Se 2.38-2.57
Ga2 0.5577 0.4423 0.7379  4 Se 2.38-2.57
Se1 0.0403 0.9597 0.8390  2 Ga 2.57
Se2 0.2978 0.7022 0.4882  2 Nd 2.92
Se3 0.3181 0.6819 0.1863  1 Ga 2.50
Se4 0.3504 0.6496 0.8235  1 Nd 2.86
Se5 0.4987 0.5013 0.5834  1 Ga 2.38
Se6 0.5013 0.4987 0.0834  1 Ga 2.38
Se7 0.6496 0.3504 0.3235  1 Nd 2.86
Se8 0.6819 0.3181 0.6863  1 Ga 2.50
Se9 0.7022 0.2978 0.9882  2 Nd 2.92
Se10 0.9597 0.0403 0.3390  2 Ga 2.57

Results
Space group = No. 36
Raw formation energy = -1637 meV per atom
Crystal system = orthorhombic

=====

First-principles (GGA-PBE) data for a relaxed structure of Pa2Ni4GeP3, as listed in the Alexandria database.

abc: 4.0559 4.0559 9.0202
angles: 90.00 90.00 90.00
Closest atoms and distances in Å follow each position.
Sites, in units of the cell vectors:
Pa1 0.0000 0.5000 0.2436  8 Ni 2.99-3.10, 6 P 3.05-3.08, 2 Ge 3.08
Pa2 0.5000 0.0000 0.7564  8 Ni 2.99-3.10, 6 P 3.05-3.08, 2 Ge 3.08
Ni1 0.0000 0.0000 0.0000  4 P 2.34
Ni2 0.0000 0.5000 0.6253  3 P 2.22-2.32, 2 Ge 2.32
Ni3 0.5000 0.0000 0.3747  3 P 2.22-2.32, 2 Ge 2.32
Ni4 0.5000 0.5000 0.0000  4 P 2.34
Ge1 0.0000 0.0000 0.5000  4 Ni 2.32
P1 0.0000 0.5000 0.8712  5 Ni 2.22-2.34
P2 0.5000 0.0000 0.1288  5 Ni 2.22-2.34
P3 0.5000 0.5000 0.5000  4 Ni 2.32

Results
Calculated formation energy = -0.84 eV per atom
Space group = No. 115
Crystal system = tetragonal
N(E_F) = 0.698 states/eV/atom

=====

First-principles (GGA-PBE) data for a relaxed structure of Li2YTl2, as listed in the Alexandria database.

abc: 8.3532 8.3532 3.4005
angles: 90.00 90.00 90.00
Closest atoms and distances in Å follow each position.
Sites, in units of the cell vectors:
Li1 0.1601 0.3399 0.0000  6 Tl 2.93-3.02
Li2 0.3399 0.8399 0.0000  6 Tl 2.93-3.02
Li3 0.6601 0.1601 0.0000  6 Tl 2.93-3.02
Li4 0.8399 0.6601 0.0000  6 Tl 2.93-3.02
Y1 0.0000 0.0000 0.5000  4 Tl 3.24, 2 Y 3.40, 8 Li 3.57
Y2 0.5000 0.5000 0.5000  4 Tl 3.24, 2 Y 3.40, 8 Li 3.57
Tl1 0.1380 0.6380 0.5000  6 Li 2.93-3.02, 2 Y 3.24, 1 Tl 3.26
Tl2 0.3620 0.1380 0.5000  6 Li 2.93-3.02, 2 Y 3.24, 1 Tl 3.26
Tl3 0.6380 0.8620 0.5000  6 Li 2.93-3.02, 2 Y 3.24, 1 Tl 3.26
Tl4 0.8620 0.3620 0.5000  6 Li 2.93-3.02, 2 Y 3.24, 1 Tl 3.26

Results
Calculated formation energy = -0.17 eV per atom
Space group = No. 127
Crystal system = tetragonal
N(E_F) = 0.425 states/eV/atom

=====

First-principles (GGA-PBE) data for a relaxed structure of Mn2NbReN, as listed in the Alexandria database.

abc: 4.7932 4.7932 3.8826
angles: 90.00 90.00 90.00
Closest atoms and distances in Å follow each position.
Sites, in units of the cell vectors:
Mn1 0.0000 0.5000 0.0000  2 Nb 2.40
Mn2 0.5000 0.0000 0.0000  2 Nb 2.40
Nb1 0.0000 0.0000 0.0000  2 N 1.94
Re1 0.5000 0.5000 0.5000  8 Mn 3.08, 4 N 3.39
N1 0.0000 0.0000 0.5000  2 Nb 1.94

Results
Space group = No. 123
Raw formation energy = 1640 meV per atom
Crystal system = tetragonal
N(E_F) = 0.968 states/eV/atom

=====

First-principles (GGA-PBE) data for a relaxed structure of PmPr6Sm2Mg, as listed in the Alexandria database.

abc: 8.8471 8.8471 9.8399
angles: 94.81 94.81 114.49
Closest atoms and distances in Å follow each position.
Sites, in units of the cell vectors:
Pm1 0.0206 0.9794 0.7500  4 Sm 3.38-3.55, 4 Pr 3.56-3.59
Pm2 0.9794 0.0206 0.2500  4 Sm 3.38-3.55, 4 Pr 3.56-3.59
Pr1 0.0011 0.4322 0.3073  1 Mg 3.37, 3 Pr 3.45-3.74, 1 Sm 3.52, 1 Pm 3.56
Pr2 0.1156 0.7527 0.0520  2 Pm 3.59-3.94, 7 Pr 3.59-3.92, 2 Sm 3.60-3.85, 1 Mg 3.86
Pr3 0.2473 0.8844 0.4480  2 Pm 3.59-3.94, 7 Pr 3.59-3.92, 2 Sm 3.60-3.85, 1 Mg 3.86
Pr4 0.3044 0.5065 0.8905  3 Sm 3.24-3.50, 2 Mg 3.40-3.51, 4 Pr 3.45-3.60
Pr5 0.4322 0.0011 0.8073  1 Mg 3.37, 3 Pr 3.45-3.74, 1 Sm 3.52, 1 Pm 3.56
Pr6 0.4935 0.6956 0.6095  3 Sm 3.24-3.50, 2 Mg 3.40-3.51, 4 Pr 3.45-3.60
Pr7 0.5065 0.3044 0.3905  3 Sm 3.24-3.50, 2 Mg 3.40-3.51, 4 Pr 3.45-3.60
Pr8 0.5678 0.9989 0.1927  1 Mg 3.37, 3 Pr 3.45-3.74, 1 Sm 3.52, 1 Pm 3.56
Pr9 0.6956 0.4935 0.1095  3 Sm 3.24-3.50, 2 Mg 3.40-3.51, 4 Pr 3.45-3.60
Pr10 0.7527 0.1156 0.5520  2 Pm 3.59-3.94, 7 Pr 3.59-3.92, 2 Sm 3.60-3.85, 1 Mg 3.86
Pr11 0.8844 0.2473 0.9480  2 Pm 3.59-3.94, 7 Pr 3.59-3.92, 2 Sm 3.60-3.85, 1 Mg 3.86
Pr12 0.9989 0.5678 0.6927  1 Mg 3.37, 3 Pr 3.45-3.74, 1 Sm 3.52, 1 Pm 3.56
Sm1 0.2009 0.2901 0.5577  5 Pr 3.24-3.60, 2 Pm 3.38-3.55, 1 Mg 3.52
Sm2 0.2901 0.2009 0.0577  5 Pr 3.24-3.60, 2 Pm 3.38-3.55, 1 Mg 3.52
Sm3 0.7099 0.7991 0.9423  5 Pr 3.24-3.60, 2 Pm 3.38-3.55, 1 Mg 3.52
Sm4 0.7991 0.7099 0.4423  5 Pr 3.24-3.60, 2 Pm 3.38-3.55, 1 Mg 3.52
Mg1 0.4054 0.5946 0.2500  6 Pr 3.37-3.51, 2 Sm 3.52
Mg2 0.5946 0.4054 0.7500  6 Pr 3.37-3.51, 2 Sm 3.52

Results
Calculated formation energy = 0.11 eV per atom
Space group = No. 15
Crystal system = monoclinic
N(E_F) = 1.531 states/eV/atom